Material: BaCoSeO
Method: DFT, PBE+U
State: relaxed

Cell: 7.5649 7.7741 12.7157 Å, 90.00 90.00 90.00°
Space group Pbca (No. 61)
One atom of each set of equivalent atoms:
Ba (0.2266, 0.0982, 0.2040) (multiplicity 8)
Co (0.0940, 0.6559, 0.9225) (multiplicity 8)
Se (0.1912, 0.1330, 0.4820) (multiplicity 8)
O (0.0427, 0.6730, 0.7789) (multiplicity 8)

* total magnetization: 23.99 Bohr magnetons per cell
* crystal system: orthorhombic
* E_tot: -5.292 eV per atom